No. 1
TbPrBe2Ge2: optimized geometry, PBE-GGA.

a b c (Å): 3.9720 3.9720 8.3853
angles (deg): 90.00 90.00 120.00
Last column: nearest neighbours and their distance in Å.
Element x y z (fractional)
1 Be 0.3333 0.6667 0.7417  3 Ge 2.29
2 Be 0.6667 0.3333 0.2583  3 Ge 2.29
3 Tb 0.0000 0.0000 0.5000  6 Ge 3.05, 6 Be 3.06
4 Pr 0.0000 0.0000 0.0000  6 Be 3.15, 6 Ge 3.17
5 Ge 0.6667 0.3333 0.7398  3 Be 2.29
6 Ge 0.3333 0.6667 0.2602  3 Be 2.29

Electronic total energy = -5.00 eV/atom

---

No. 2
PrTmBe2Ge2: optimized geometry, PBE-GGA.

a b c (Å): 3.9428 3.9428 8.2818
angles (deg): 90.00 90.00 120.00
Last column: nearest neighbours and their distance in Å.
Element x y z (fractional)
1 Be 0.6667 0.3333 0.2617  3 Ge 2.28
2 Be 0.3333 0.6667 0.7383  3 Ge 2.28
3 Tm 0.0000 0.0000 0.5000  6 Ge 3.00, 6 Be 3.01
4 Ge 0.3333 0.6667 0.2642  3 Be 2.28
5 Ge 0.6667 0.3333 0.7358  3 Be 2.28
6 Pr 0.0000 0.0000 0.0000  6 Be 3.14, 6 Ge 3.16

Electronic total energy = -4.96 eV/atom

---

No. 3
PrZrBe2Ge2: optimized geometry, PBE-GGA.

a b c (Å): 3.8808 3.8808 8.0539
angles (deg): 90.00 90.00 120.00
Last column: nearest neighbours and their distance in Å.
Element x y z (fractional)
1 Zr 0.0000 0.0000 0.5000  6 Be 2.85, 6 Ge 2.91
2 Pr 0.0000 0.0000 0.0000  6 Ge 3.12, 6 Be 3.19
3 Be 0.6667 0.3333 0.2821  3 Ge 2.24
4 Be 0.3333 0.6667 0.7179  3 Ge 2.24
5 Ge 0.6667 0.3333 0.7301  3 Be 2.24
6 Ge 0.3333 0.6667 0.2699  3 Be 2.24

Electronic total energy = -5.65 eV/atom

---

No. 4
BeGePt: optimized geometry, PBE-GGA.

a b c (Å): 3.9280 3.9280 3.9280
angles (deg): 60.00 60.00 60.00
Last column: nearest neighbours and their distance in Å.
Element x y z (fractional)
1 Ge 0.2500 0.2500 0.2500  4 Be 2.41
2 Pt 0.7500 0.7500 0.7500  4 Be 2.41
3 Be 0.0000 0.0000 0.0000  4 Pt 2.41, 4 Ge 2.41

Electronic total energy = -5.04 eV/atom

---

No. 5
Be2GePt: optimized geometry, PBE-GGA.

a b c (Å): 4.1473 4.1473 4.1473
angles (deg): 60.00 60.00 60.00
Last column: nearest neighbours and their distance in Å.
Element x y z (fractional)
1 Be 0.0000 0.0000 0.0000  4 Be 2.54, 4 Pt 2.54
2 Be 0.7500 0.7500 0.7500  4 Ge 2.54, 4 Be 2.54
3 Ge 0.5000 0.5000 0.5000  4 Be 2.54, 4 Pt 2.54
4 Pt 0.2500 0.2500 0.2500  4 Ge 2.54, 4 Be 2.54

Electronic total energy = -4.49 eV/atom

---

No. 6
BeGePt2: optimized geometry, PBE-GGA.

a b c (Å): 4.3628 4.3628 4.3628
angles (deg): 60.00 60.00 60.00
Last column: nearest neighbours and their distance in Å.
Element x y z (fractional)
1 Be 0.2500 0.2500 0.2500  4 Ge 2.67, 4 Pt 2.67
2 Pt 0.7500 0.7500 0.7500  4 Ge 2.67, 4 Pt 2.67
3 Pt 0.0000 0.0000 0.0000  4 Be 2.67, 4 Pt 2.67
4 Ge 0.5000 0.5000 0.5000  4 Be 2.67, 4 Pt 2.67

Electronic total energy = -5.14 eV/atom